The following is a GGA-PBE calculation of a relaxed La4PmHg5 crystal, from the Alexandria database.

Calculated values
Space group ... No. 123
DFT total energy ... -30.9 eV per formula unit

The structure in POSCAR format:
```
La4PmHg5
1.0
3.899 0.000 0.000
0.000 3.899 0.000
0.000 0.000 19.379
La Pm Hg
4 1 5
Direct
0.000 0.000 0.196 La
0.000 0.000 0.399 La
0.000 0.000 0.601 La
0.000 0.000 0.804 La
0.000 0.000 0.000 Pm
0.500 0.500 0.094 Hg
0.500 0.500 0.298 Hg
0.500 0.500 0.500 Hg
0.500 0.500 0.702 Hg
0.500 0.500 0.906 Hg
```